No. 1
Material: MnBe5
Method: DFT, PBE
State: relaxed

mass density = 3.33 g/cm³
space-group type = Cmmm (65)
volume = 49.8 Å³/f.u.
total energy = -4.71 eV/atom
N(E_F) = 0.239 states/eV per atom

Cell lengths 5.2270, 5.2270, 3.1593 Å; angles 90.00, 90.00, 144.73 degrees
Fractional positions:
Mn: 0.0000 0.0000 0.0000
Be: 0.1686 0.8314 0.5000
Be: 0.3272 0.6728 0.0000
Be: 0.5000 0.5000 0.5000
Be: 0.6728 0.3272 0.0000
Be: 0.8314 0.1686 0.5000

=====

No. 2
Material: Tm8Th3
Method: DFT, PBE
State: relaxed

mass density = 8.57 g/cm³
polymorph energy (0 for the lowest one) = 7.12 eV/f.u.
space-group type = R-3 (148)
volume = 396.5 Å³/f.u.
total energy = -4.60 eV/atom
N(E_F) = 1.660 states/eV per atom

Cell lengths 8.0094, 8.0094, 8.0094 Å; angles 64.15, 64.15, 64.15 degrees
Fractional positions:
Tm: 0.0719 0.0719 0.0719
Tm: 0.1768 0.6155 0.2973
Tm: 0.2973 0.1768 0.6155
Tm: 0.3845 0.7027 0.8232
Tm: 0.6155 0.2973 0.1768
Tm: 0.7027 0.8232 0.3845
Tm: 0.8232 0.3845 0.7027
Tm: 0.9281 0.9281 0.9281
Th: 0.0000 0.0000 0.5000
Th: 0.0000 0.5000 0.0000
Th: 0.5000 0.0000 0.0000

=====

No. 3
Material: AcYZnAg
Method: DFT, PBE
State: relaxed

mass density = 7.45 g/cm³
polymorph energy (0 for the lowest one) = 0.14 eV/f.u.
space-group type = F-43m (216)
volume = 109.1 Å³/f.u.
total energy = -3.92 eV/atom
N(E_F) = 0.570 states/eV per atom

Cell lengths 5.3633, 5.3633, 5.3633 Å; angles 60.00, 60.00, 60.00 degrees
Fractional positions:
Ac: 0.0000 0.0000 0.0000
Y: 0.5000 0.5000 0.5000
Zn: 0.7500 0.7500 0.7500
Ag: 0.2500 0.2500 0.2500

=====

No. 4
Material: ScFeHg2
Method: DFT, PBE
State: relaxed

mass density = 10.90 g/cm³
space-group type = I-4m2 (119)
volume = 76.5 Å³/f.u.
total energy = -3.76 eV/atom
N(E_F) = 1.291 states/eV per atom

Cell lengths 5.2334, 5.2334, 5.2334 Å; angles 132.48, 132.48, 69.47 degrees
Fractional positions:
Sc: 0.0000 0.0000 0.0000
Fe: 0.2500 0.7500 0.5000
Hg: 0.5000 0.5000 0.0000
Hg: 0.7500 0.2500 0.5000